1.
Material: SmH2I4
Method: DFT, GGA-PBE
State: relaxed

Total DFT energy (no corrections) (Ha/atom): -0.119

Cell lengths 7.588, 4.467, 8.641 Å; angles 91.48, 81.88, 90.91 degrees
Element x y z (fractional)
1 I 0.604 0.491 0.149
2 I 0.067 0.014 0.235
3 I 0.396 0.509 0.851
4 I 0.933 0.986 0.765
5 H 0.506 0.995 0.456
6 H 0.494 0.005 0.544
7 Sm 0.000 0.500 0.000


2.
Material: KPdCl
Method: DFT, GGA-PBE
State: relaxed

Energy relative to the elements, uncorrected (meV per atom): -771.1
Offset from the most stable computed form (eV per atom): 0.047
Total DFT energy (no corrections) (Ha/atom): -0.128

Cell lengths 4.650, 8.495, 4.781 Å; angles 73.71, 89.99, 95.79 degrees
Element x y z (fractional)
1 Pd 0.453 0.928 0.711
2 Pd 0.925 0.741 0.805
3 K 0.009 0.490 0.430
4 K 0.973 0.031 0.160
5 Cl 0.465 0.218 0.564
6 Cl 0.417 0.643 0.854